[1]
An optimized crystal structure of BAuSe2N. Source: Alexandria via LeMat-Bulk, functional PBE.

Values from the calculation:
formation energy without anion corrections = 1.88 eV/atom
energy relative to the lowest polymorph listed for this composition = 8.04 eV per formula unit
calculated total energy = -3.166 eV per atom

Cell: 5.3536 5.3536 3.7226 Å, 90.00 90.00 90.00°
With the nearest neighbours (Å) after each atom.
Space group P4/mmm (No. 123)
Asymmetric unit:
B 0.0000 0.0000 0.0000  8 Se 3.26
Au 0.5000 0.5000 0.5000  2 N 1.86
Se 0.0000 0.5000 0.5000  2 Au 2.68
N 0.5000 0.5000 0.0000  2 Au 1.86


[2]
An optimized crystal structure of CsB2H8. Source: Alexandria via LeMat-Bulk, functional PBE.

Values from the calculation:
energy relative to the lowest polymorph listed for this composition = 3.43 eV per formula unit
calculated total energy = -3.509 eV per atom

Cell: 6.5225 11.5454 3.0169 Å, 90.00 90.08 90.00°
With the nearest neighbours (Å) after each atom.
Space group C2/m (No. 12)
Asymmetric unit:
Cs 0.0000 0.0000 0.0000  10 H 2.87-3.20, 2 Cs 3.02
B 0.0000 0.2965 0.5000  2 H 1.21
H 0.0000 0.2483 0.0000  2 B 1.61
H 0.0001 0.5000 0.1255  1 H 0.76
H 0.1612 0.3485 0.5004  1 B 1.21


[3]
An optimized crystal structure of ReRu2Br. Source: Alexandria via LeMat-Bulk, functional PBE.

Values from the calculation:
formation energy without anion corrections = 1.06 eV/atom
energy relative to the lowest polymorph listed for this composition = 2.18 eV per formula unit
calculated total energy = -7.113 eV per atom

Cell: 2.9007 4.5042 4.6840 Å, 90.00 90.00 90.00°
With the nearest neighbours (Å) after each atom.
Space group Pmmm (No. 47)
Asymmetric unit:
Re 0.0000 0.0000 0.0000  4 Ru 2.68, 4 Br 2.75, 2 Re 2.90
Ru 0.0000 0.5000 0.5000  4 Br 2.68, 6 Ru 2.75-2.90
Ru 0.5000 0.5000 0.0000  4 Re 2.68, 6 Ru 2.75-2.90
Br 0.5000 0.0000 0.5000  4 Ru 2.68, 4 Re 2.75, 2 Br 2.90


[4]
An optimized crystal structure of CaReAg2. Source: Alexandria via LeMat-Bulk, functional PBE.

Values from the calculation:
energy relative to the lowest polymorph listed for this composition = 0.00 eV per formula unit
calculated total energy = -4.565 eV per atom
energy of formation from the pure elements = 10.9 kcal/mol of atoms

Cell: 2.8187 2.8187 9.3814 Å, 90.00 90.00 90.00°
With the nearest neighbours (Å) after each atom.
Space group P4mm (No. 99)
Asymmetric unit:
Ca 0.0000 0.0000 0.0000  4 Ca 2.82, 4 Re 3.12
Re 0.5000 0.5000 0.2560  4 Re 2.82, 4 Ag 2.94, 4 Ca 3.12
Ag 0.0000 0.0000 0.4861  8 Ag 2.82-3.01, 4 Re 2.94
Ag 0.5000 0.5000 0.7270  8 Ag 2.82-3.01


[5]
An optimized crystal structure of Cd2PN. Source: Alexandria via LeMat-Bulk, functional PBE.

Values from the calculation:
formation energy without anion corrections = 1.06 eV/atom
energy relative to the lowest polymorph listed for this composition = 1.46 eV per formula unit
calculated total energy = -2.835 eV per atom

Cell: 6.4866 6.4866 6.4866 Å, 90.00 90.00 90.00°
With the nearest neighbours (Å) after each atom.
Space group Fm-3m (No. 225)
Asymmetric unit:
Cd 0.2500 0.2500 0.2500  4 P 2.81, 4 N 2.81
P 0.0000 0.0000 0.0000  8 Cd 2.81
N 0.0000 0.0000 0.5000  8 Cd 2.81


[6]
An optimized crystal structure of CdAgRh2. Source: Alexandria via LeMat-Bulk, functional PBE.

Values from the calculation:
calculated total energy = -4.396 eV per atom
energy of formation from the pure elements = 5.1 kcal/mol of atoms

Cell: 3.2590 3.2590 6.2336 Å, 90.00 90.00 90.00°
With the nearest neighbours (Å) after each atom.
Space group P4/mmm (No. 123)
Asymmetric unit:
Cd 0.0000 0.0000 0.0000  8 Rh 2.80, 2 Ag 3.12
Ag 0.0000 0.0000 0.5000  8 Rh 2.77
Rh 0.5000 0.5000 0.2542  4 Ag 2.77, 4 Cd 2.80, 1 Rh 3.06


[7]
An optimized crystal structure of BaSn3Br8. Source: Alexandria via LeMat-Bulk, functional PBE.

Values from the calculation:
formation energy without anion corrections = -1.10 eV/atom
calculated total energy = -3.375 eV per atom

Cell: 14.4437 9.1185 8.5786 Å, 90.00 120.84 90.00°
With the nearest neighbours (Å) after each atom.
Space group C2/m (No. 12)
Asymmetric unit:
Ba 0.0000 0.0000 0.0000  6 Br 3.23
Sn 0.0000 0.5000 0.0000  6 Br 3.02-3.08
Sn 0.2500 0.2500 0.5000  6 Br 3.02-3.08
Br 0.0077 0.2651 0.2553  2 Sn 3.02, 1 Ba 3.23
Br 0.2425 0.5000 0.7249  2 Sn 3.02, 1 Ba 3.23
Br 0.2467 0.5000 0.2556  3 Sn 3.08


[8]
An optimized crystal structure of CdTe2RuI. Source: Alexandria via LeMat-Bulk, functional PBE.

Values from the calculation:
formation energy without anion corrections = 0.35 eV/atom
energy relative to the lowest polymorph listed for this composition = 0.66 eV per formula unit
calculated total energy = -3.254 eV per atom

Cell: 5.1817 5.1817 5.6975 Å, 90.00 90.00 90.00°
With the nearest neighbours (Å) after each atom.
Space group P4/mmm (No. 123)
Asymmetric unit:
Cd 0.0000 0.0000 0.0000  4 I 3.66, 8 Te 3.85
Te 0.0000 0.5000 0.5000  2 Ru 2.59
Ru 0.5000 0.5000 0.5000  4 Te 2.59, 2 I 2.85
I 0.5000 0.5000 0.0000  2 Ru 2.85